No. 1
# PBE BaHgPb2Cl8, optimized geometry
# **Crystal system**: triclinic
# **Formation energy without anion corrections**: -1.32 eV per atom
# **DOS(E_F)**: 0.000 states/eV per atom
# **E**: -40.281 eV/cell
data_BaHgPb2Cl8
_chemical_formula_sum 'Ba1 Hg1 Pb2 Cl8'
_symmetry_space_group_name_H-M 'P -1'
_symmetry_Int_Tables_number 2
_symmetry_space_group_name_Hall '-P 1'
_cell_length_a 6.799
_cell_length_b 6.824
_cell_length_c 8.887
_cell_angle_alpha 91.91
_cell_angle_beta 91.51
_cell_angle_gamma 90.29
loop_
_atom_site_label
_atom_site_type_symbol
_atom_site_fract_x
_atom_site_fract_y
_atom_site_fract_z
Ba1 Ba 0.000 0.000 0.000
Hg1 Hg 0.000 0.000 0.500
Pb1 Pb 0.493 0.490 0.262
Cl1 Cl 0.144 0.200 0.708
Cl2 Cl 0.153 0.269 0.262
Cl3 Cl 0.344 0.738 0.498
Cl4 Cl 0.363 0.733 0.008

No. 2
# PBE LaSm5Sn6, optimized geometry
# **Crystal system**: triclinic
# **DOS(E_F)**: 0.726 states/eV per atom
# **E**: -60.297 eV/cell
data_LaSm5Sn6
_chemical_formula_sum 'La1 Sm5 Sn6'
_symmetry_space_group_name_H-M 'P -1'
_symmetry_Int_Tables_number 2
_symmetry_space_group_name_Hall '-P 1'
_cell_length_a 5.829
_cell_length_b 7.826
_cell_length_c 8.630
_cell_angle_alpha 85.80
_cell_angle_beta 78.66
_cell_angle_gamma 68.22
loop_
_atom_site_label
_atom_site_type_symbol
_atom_site_fract_x
_atom_site_fract_y
_atom_site_fract_z
La1 La 0.000 0.000 0.000
Sm1 Sm 0.000 0.000 0.500
Sm2 Sm 0.331 0.337 0.000
Sm3 Sm 0.336 0.326 0.500
Sn1 Sn 0.166 0.661 0.746
Sn2 Sn 0.174 0.661 0.255
Sn3 Sn 0.486 0.000 0.249

No. 3
# PBE AlSn4Hg2, optimized geometry
# **Crystal system**: tetragonal
# **DOS(E_F)**: 0.578 states/eV per atom
# **E**: -36.008 eV/cell
data_AlSn4Hg2
_chemical_formula_sum 'Al2 Sn8 Hg4'
_symmetry_space_group_name_H-M 'I 4/m m m'
_symmetry_Int_Tables_number 139
_symmetry_space_group_name_Hall '-I 4 2'
_cell_length_a 5.286
_cell_length_b 5.286
_cell_length_c 15.080
_cell_angle_alpha 90.00
_cell_angle_beta 90.00
_cell_angle_gamma 90.00
loop_
_atom_site_label
_atom_site_type_symbol
_atom_site_fract_x
_atom_site_fract_y
_atom_site_fract_z
Al1 Al 0.000 0.000 0.000
Sn1 Sn 0.000 0.000 0.188
Sn2 Sn 0.000 0.500 0.000
Hg1 Hg 0.000 0.000 0.377

No. 4
# PBE KHg12Au6, optimized geometry
# **Crystal system**: trigonal
# **DOS(E_F)**: 0.390 states/eV per atom
# **E**: -73.218 eV/cell
# **Polymorph energy (0 for the lowest one)**: 0 meV per atom
data_KHg12Au6
_chemical_formula_sum 'K3 Hg36 Au18'
_symmetry_space_group_name_H-M 'R -3 m'
_symmetry_Int_Tables_number 166
_symmetry_space_group_name_Hall '-R 3 2"'
_cell_length_a 12.9129
_cell_length_b 12.9129
_cell_length_c 9.8201
_cell_angle_alpha 90.00
_cell_angle_beta 90.00
_cell_angle_gamma 120.00
loop_
_atom_site_label
_atom_site_type_symbol
_atom_site_fract_x
_atom_site_fract_y
_atom_site_fract_z
K1 K 0.0000 0.0000 0.0000
Hg1 Hg 0.0000 0.3863 0.5000
Hg2 Hg 0.0838 0.1675 0.3131
Au1 Au 0.0483 0.5242 0.2467

No. 5
# PBE ZnCu2SeS, optimized geometry
# **Crystal system**: tetragonal
# **Formation energy without anion corrections**: 0.87 eV per atom
# **DOS(E_F)**: 0.663 states/eV per atom
# **E**: -12.748 eV/cell
data_ZnCu2SeS
_chemical_formula_sum 'Zn1 Cu2 Se1 S1'
_symmetry_space_group_name_H-M 'P 4/m m m'
_symmetry_Int_Tables_number 123
_symmetry_space_group_name_Hall '-P 4 2'
_cell_length_a 4.623
_cell_length_b 4.623
_cell_length_c 4.707
_cell_angle_alpha 90.00
_cell_angle_beta 90.00
_cell_angle_gamma 90.00
loop_
_atom_site_label
_atom_site_type_symbol
_atom_site_fract_x
_atom_site_fract_y
_atom_site_fract_z
Zn1 Zn 0.000 0.000 0.000
Cu1 Cu 0.000 0.500 0.000
Se1 Se 0.000 0.000 0.500
S1 S 0.500 0.500 0.500

No. 6
# PBE Pm2PrNd, optimized geometry
# **Crystal system**: cubic
# **DOS(E_F)**: 2.634 states/eV per atom
# **E**: -74.089 eV/cell
# **Polymorph energy (0 for the lowest one)**: 124 meV per atom
data_Pm2PrNd
_chemical_formula_sum 'Pm8 Pr4 Nd4'
_symmetry_space_group_name_H-M 'F m -3 m'
_symmetry_Int_Tables_number 225
_symmetry_space_group_name_Hall '-F 4 2 3'
_cell_length_a 8.250
_cell_length_b 8.250
_cell_length_c 8.250
_cell_angle_alpha 90.00
_cell_angle_beta 90.00
_cell_angle_gamma 90.00
loop_
_atom_site_label
_atom_site_type_symbol
_atom_site_fract_x
_atom_site_fract_y
_atom_site_fract_z
Pm1 Pm 0.250 0.250 0.250
Pr1 Pr 0.000 0.000 0.000
Nd1 Nd 0.000 0.000 0.500